1.
DFT (SCAN) results for Ca2CrSb at its PBEsol-relaxed geometry.

## Properties
As for the crystal system: cubic.

a = 5.065 Å, b = 5.065 Å, c = 5.065 Å
α = 60.00°, β = 60.00°, γ = 60.00°
Sites, in units of the cell vectors:
1 Sb 0.250 0.250 0.250
2 Ca 0.000 0.000 0.000
3 Ca 0.750 0.750 0.750
4 Cr 0.500 0.500 0.500



2.
DFT (SCAN) results for CaCrSb at its PBEsol-relaxed geometry.

## Properties
As for the crystal system: cubic.

a = 4.745 Å, b = 4.745 Å, c = 4.745 Å
α = 60.00°, β = 60.00°, γ = 60.00°
Sites, in units of the cell vectors:
1 Sb 0.000 0.000 0.000
2 Ca 0.500 0.500 0.500
3 Cr 0.750 0.750 0.750



3.
DFT (SCAN) results for CaCr2Sb at its PBEsol-relaxed geometry.

## Properties
As for the crystal system: tetragonal.

a = 3.215 Å, b = 3.215 Å, c = 7.381 Å
α = 90.00°, β = 90.00°, γ = 90.00°
Sites, in units of the cell vectors:
1 Sb 0.000 0.000 0.449
2 Ca 0.500 0.500 0.770
3 Cr 0.000 0.000 0.079
4 Cr 0.500 0.500 0.202



4.
DFT (SCAN) results for Ca2TaCrSb at its PBEsol-relaxed geometry.

## Properties
As for the crystal system: tetragonal.

a = 4.440 Å, b = 5.655 Å, c = 5.655 Å
α = 90.00°, β = 90.00°, γ = 90.00°
Sites, in units of the cell vectors:
1 Sb 0.500 0.500 0.500
2 Ca 0.000 0.000 0.500
3 Ca 0.000 0.500 0.000
4 Cr 0.500 0.000 0.000
5 Ta 0.000 0.000 0.000



no.,final energy (eV/atom)
1,-18.8045
2,-22.2742
3,-20.9009
4,-27.4575